# 1
A relaxed Tm2Sb3Rh4 crystal, computed with PBE.

Output
Total magnetization in μB/cell: 0.00
Formation energy without anion corrections in eV/atom: -0.75

a b c (Å): 6.032 15.844 7.380
angles (deg): 90.00 90.00 90.00
Space group Cmce (No. 64)
One atom of each set of equivalent atoms:
Tm: 0.000 0.099 0.094 [8 per cell]
Sb: 0.000 0.000 0.500 [4 per cell]
Sb: 0.250 0.238 0.750 [8 per cell]
Rh: 0.000 0.169 0.479 [8 per cell]
Rh: 0.250 0.067 0.750 [8 per cell]

---

# 2
A relaxed AlIn6Ag10 crystal, computed with PBE.

Output
Total magnetization in μB/cell: 0.00
Calculated formation energy in eV/atom: 0.063

a b c (Å): 8.2821 8.2821 5.8269
angles (deg): 90.00 90.00 120.00
Space group P-31m (No. 162)
One atom of each set of equivalent atoms:
Al: 0.0000 0.0000 0.0000 [1 per cell]
In: 0.0000 0.3788 0.7872 [6 per cell]
Ag: 0.0000 0.2610 0.3134 [6 per cell]
Ag: 0.3333 0.6667 0.0000 [2 per cell]
Ag: 0.3333 0.6667 0.5000 [2 per cell]

---

# 3
A relaxed Mg2Al6Pd crystal, computed with PBE.

Output
Total magnetization in μB/cell: 0.00
Calculated formation energy in eV/atom: -0.184

a b c (Å): 9.454 5.455 6.343
angles (deg): 90.00 90.23 90.00
Space group C2/m (No. 12)
One atom of each set of equivalent atoms:
Mg: 0.166 0.000 0.408 [4 per cell]
Al: 0.085 0.247 0.825 [8 per cell]
Al: 0.168 0.500 0.177 [4 per cell]
Pd: 0.000 0.500 0.500 [2 per cell]

---

# 4
A relaxed LaZr2W crystal, computed with PBE.

Output
Energy relative to the lowest polymorph listed for this composition in meV/atom: 211
Total magnetization in μB/cell: 0.00
Calculated formation energy in eV/atom: 0.386

a b c (Å): 3.377 5.124 10.622
angles (deg): 90.00 90.00 90.00
Space group Cmm2 (No. 35)
One atom of each set of equivalent atoms:
La: 0.000 0.000 0.000 [2 per cell]
Zr: 0.000 0.000 0.557 [2 per cell]
Zr: 0.000 0.500 0.307 [2 per cell]
W: 0.000 0.500 0.764 [2 per cell]

---

# 5
A relaxed ZnH2IBr crystal, computed with PBE.

Output
Total magnetization in μB/cell: 0.00
E in eV/atom: -1.757

a b c (Å): 4.096 4.096 6.134
angles (deg): 90.00 90.00 90.00
Space group P4/mmm (No. 123)
One atom of each set of equivalent atoms:
Zn: 0.000 0.000 0.000 [1 per cell]
H: 0.000 0.500 0.000 [2 per cell]
I: 0.500 0.500 0.500 [1 per cell]
Br: 0.000 0.000 0.500 [1 per cell]

---

# 6
A relaxed Sm2YTmS4 crystal, computed with PBE.

Output
Total magnetization in μB/cell: 0.00
Formation energy without anion corrections in eV/atom: -2.00

a b c (Å): 6.798 3.895 6.931
angles (deg): 90.00 108.85 90.00
Space group P2/m (No. 10)
One atom of each set of equivalent atoms:
Sm: 0.000 0.000 0.000 [1 per cell]
Sm: 0.500 0.500 0.000 [1 per cell]
Y: 0.000 0.500 0.500 [1 per cell]
Tm: 0.500 0.000 0.500 [1 per cell]
S: 0.249 0.000 0.738 [2 per cell]
S: 0.258 0.500 0.264 [2 per cell]

---

# 7
A relaxed La3AlRh crystal, computed with PBE.

Output
Energy relative to the lowest polymorph listed for this composition in meV/atom: 0
Total magnetization in μB/cell: 0.00
Calculated formation energy in eV/atom: -0.456

a b c (Å): 5.555 6.533 9.444
angles (deg): 70.61 89.98 64.84
Space group P-1 (No. 2)
One atom of each set of equivalent atoms:
La: 0.123 0.255 0.414 [2 per cell]
La: 0.349 0.802 0.859 [2 per cell]
La: 0.372 0.756 0.230 [2 per cell]
Al: 0.091 0.320 0.945 [2 per cell]
Rh: 0.391 0.718 0.555 [2 per cell]

---

# 8
A relaxed Sr2TlW crystal, computed with PBE.

Output
Energy relative to the lowest polymorph listed for this composition in meV/atom: 45
Total magnetization in μB/cell: 3.94
Calculated formation energy in eV/atom: 0.760

a b c (Å): 3.917 5.521 11.377
angles (deg): 90.00 90.00 90.00
Space group Imm2 (No. 44)
One atom of each set of equivalent atoms:
Sr: 0.000 0.000 0.000 [2 per cell]
Sr: 0.000 0.500 0.205 [2 per cell]
Tl: 0.000 0.500 0.767 [2 per cell]
W: 0.000 0.000 0.445 [2 per cell]

---

# 9
A relaxed PuAlAg crystal, computed with PBE.

Output
Total magnetization in μB/cell: 0.00
Calculated formation energy in eV/atom: -0.017

a b c (Å): 5.086 4.523 9.369
angles (deg): 90.00 91.84 90.00
Space group C2/m (No. 12)
One atom of each set of equivalent atoms:
Pu: 0.211 0.000 0.048 [4 per cell]
Al: 0.232 0.500 0.264 [4 per cell]
Ag: 0.244 0.000 0.407 [4 per cell]

---

# 10
A relaxed Ac2P3Rh4Au crystal, computed with PBE.

Output
Total magnetization in μB/cell: 0.00
Calculated formation energy in eV/atom: -0.849

a b c (Å): 4.244 4.244 10.429
angles (deg): 90.00 90.00 90.00
Space group P-4m2 (No. 115)
One atom of each set of equivalent atoms:
Ac: 0.000 0.500 0.244 [2 per cell]
P: 0.000 0.000 0.000 [1 per cell]
P: 0.000 0.500 0.623 [2 per cell]
Rh: 0.000 0.000 0.500 [1 per cell]
Rh: 0.000 0.500 0.843 [2 per cell]
Rh: 0.500 0.500 0.500 [1 per cell]
Au: 0.500 0.500 0.000 [1 per cell]

---

# 11
A relaxed Rb2NdGe2O6 crystal, computed with PBE.

Output
Total magnetization in μB/cell: 1.78
Formation energy without anion corrections in eV/atom: -1.99

a b c (Å): 10.747 6.213 7.201
angles (deg): 90.00 120.96 90.00
Space group C2/m (No. 12)
One atom of each set of equivalent atoms:
Rb: 0.210 0.000 0.166 [4 per cell]
Nd: 0.000 0.000 0.500 [2 per cell]
Ge: 0.057 0.500 0.214 [4 per cell]
O: 0.016 0.262 0.750 [8 per cell]
O: 0.245 0.500 0.322 [4 per cell]

---

# 12
A relaxed AcDy2Tm crystal, computed with PBE.

Output
Energy relative to the lowest polymorph listed for this composition in meV/atom: 133
Total magnetization in μB/cell: 0.00
Calculated formation energy in eV/atom: 0.186

a b c (Å): 3.5631 3.5631 37.8137
angles (deg): 90.00 90.00 120.00
Space group R-3m (No. 166, hexagonal axes)
One atom of each set of equivalent atoms:
Ac: 0.0000 0.0000 0.0000 [3 per cell]
Dy: 0.0000 0.0000 0.0932 [6 per cell]
Tm: 0.0000 0.0000 0.5000 [3 per cell]

---

# 13
A relaxed K2CaGe2 crystal, computed with PBE.

Output
Energy relative to the lowest polymorph listed for this composition in meV/atom: 0
Total magnetization in μB/cell: 0.53
Calculated formation energy in eV/atom: -0.087

a b c (Å): 7.925 7.925 5.549
angles (deg): 90.00 90.00 90.00
Space group P4/mbm (No. 127)
One atom of each set of equivalent atoms:
K: 0.176 0.324 0.000 [4 per cell]
Ca: 0.000 0.000 0.500 [2 per cell]
Ge: 0.106 0.606 0.500 [4 per cell]

---

# 14
A relaxed Ba2TbAu2O6 crystal, computed with PBE.

Output
Total magnetization in μB/cell: 6.49
Formation energy without anion corrections in eV/atom: -1.56

a b c (Å): 6.3610 6.3610 17.8797
angles (deg): 90.00 90.00 120.00
Space group R-3m (No. 166, hexagonal axes)
One atom of each set of equivalent atoms:
Ba: 0.0000 0.0000 0.2113 [6 per cell]
Tb: 0.0000 0.0000 0.0000 [3 per cell]
Au: 0.0000 0.0000 0.4159 [6 per cell]
O: 0.0392 0.5196 0.7558 [18 per cell]

---

# 15
A relaxed CdRu2Br crystal, computed with PBE.

Output
Energy relative to the lowest polymorph listed for this composition in meV/atom: 610
Total magnetization in μB/cell: 2.24
Formation energy without anion corrections in eV/atom: 0.89

a b c (Å): 5.723 9.316 3.044
angles (deg): 90.00 119.84 90.00
Space group C2/m (No. 12)
One atom of each set of equivalent atoms:
Cd: 0.000 0.000 0.000 [2 per cell]
Ru: 0.250 0.250 0.500 [4 per cell]
Br: 0.000 0.500 0.000 [2 per cell]

---

# 16
A relaxed Sr5Ti2N6 crystal, computed with PBE.

Output
Energy relative to the lowest polymorph listed for this composition in meV/atom: 0
Total magnetization in μB/cell: 0.00
Formation energy without anion corrections in eV/atom: -1.07

a b c (Å): 10.654 6.897 13.643
angles (deg): 90.00 102.05 90.00
Space group C2/c (No. 15)
One atom of each set of equivalent atoms:
Sr: 0.000 0.143 0.250 [4 per cell]
Sr: 0.039 0.239 0.002 [8 per cell]
Sr: 0.156 0.379 0.722 [8 per cell]
Ti: 0.224 0.392 0.429 [8 per cell]
N: 0.055 0.487 0.376 [8 per cell]
N: 0.147 0.025 0.644 [8 per cell]
N: 0.212 0.107 0.425 [8 per cell]

---

# 17
A relaxed VCd3Ru crystal, computed with PBE.

Output
Energy relative to the lowest polymorph listed for this composition in meV/atom: 482
Total magnetization in μB/cell: 6.16
Calculated formation energy in eV/atom: 1.525

a b c (Å): 5.103 5.103 5.103
angles (deg): 90.00 90.00 90.00
Space group Pm-3m (No. 221)
One atom of each set of equivalent atoms:
V: 0.000 0.000 0.000 [1 per cell]
Cd: 0.000 0.000 0.500 [3 per cell]
Ru: 0.500 0.500 0.500 [1 per cell]

---

# 18
A relaxed Pu5BiPt2 crystal, computed with PBE.

Output
Total magnetization in μB/cell: 33.04
Calculated formation energy in eV/atom: -0.233

a b c (Å): 3.118 9.211 12.626
angles (deg): 90.00 90.00 90.00
Space group Immm (No. 71)
One atom of each set of equivalent atoms:
Pu: 0.000 0.000 0.000 [2 per cell]
Pu: 0.000 0.291 0.366 [8 per cell]
Bi: 0.000 0.500 0.000 [2 per cell]
Pt: 0.000 0.000 0.268 [4 per cell]

---

# 19
A relaxed RbIn2Pt2 crystal, computed with PBE.

Output
Energy relative to the lowest polymorph listed for this composition in meV/atom: 83
Total magnetization in μB/cell: 0.00
Calculated formation energy in eV/atom: -0.288

a b c (Å): 8.609 8.609 2.956
angles (deg): 90.00 90.00 90.00
Space group P4/mbm (No. 127)
One atom of each set of equivalent atoms:
Rb: 0.000 0.000 0.000 [2 per cell]
In: 0.132 0.368 0.500 [4 per cell]
Pt: 0.162 0.662 0.000 [4 per cell]

---

# 20
A relaxed TbPr2NdTh crystal, computed with PBE.

Output
Total magnetization in μB/cell: 0.00
Calculated formation energy in eV/atom: 0.237

a b c (Å): 6.451 8.536 6.634
angles (deg): 90.00 103.25 90.00
Space group P2/c (No. 13)
One atom of each set of equivalent atoms:
Tb: 0.000 0.163 0.250 [2 per cell]
Pr: 0.281 0.172 0.837 [4 per cell]
Nd: 0.500 0.404 0.250 [2 per cell]
Th: 0.000 0.500 0.000 [2 per cell]

---

# 21
A relaxed TlPdRu3 crystal, computed with PBE.

Output
Energy relative to the lowest polymorph listed for this composition in meV/atom: 0
Total magnetization in μB/cell: 5.64
Calculated formation energy in eV/atom: 1.784

a b c (Å): 4.794 4.794 4.794
angles (deg): 90.00 90.00 90.00
Space group Pm-3m (No. 221)
One atom of each set of equivalent atoms:
Tl: 0.000 0.000 0.000 [1 per cell]
Pd: 0.500 0.500 0.500 [1 per cell]
Ru: 0.000 0.500 0.500 [3 per cell]